No. 1
Crystalline PmTmCd14 at its relaxed geometry, computed with PBE.

Output
The total moment is 0.00 Bohr magnetons per cell. The symmetry is P4/mmm (123).

Unit cell a=6.617 b=6.617 c=8.503 alpha=90.00 beta=90.00 gamma=90.00
Positions (direct):
Pm 0.000 0.000 0.000
Tm 0.500 0.500 0.000
Cd 0.000 0.000 0.500
Cd 0.000 0.500 0.000
Cd 0.000 0.500 0.500
Cd 0.253 0.253 0.259
Cd 0.253 0.253 0.741
Cd 0.253 0.747 0.259
Cd 0.253 0.747 0.741
Cd 0.500 0.000 0.000
Cd 0.500 0.000 0.500
Cd 0.500 0.500 0.500
Cd 0.747 0.253 0.259
Cd 0.747 0.253 0.741
Cd 0.747 0.747 0.259
Cd 0.747 0.747 0.741

No. 2
Crystalline Pm2Tm3Cd6 at its relaxed geometry, computed with PBE.

Output
The total moment is 0.44 Bohr magnetons per cell. The symmetry is I4/mmm (139).

Unit cell a=14.222 b=14.222 c=14.222 alpha=159.75 beta=159.75 gamma=28.80
Positions (direct):
Pm 0.136 0.136 0.000
Pm 0.864 0.864 0.000
Tm 0.369 0.369 0.000
Tm 0.500 0.500 0.000
Tm 0.631 0.631 0.000
Cd 0.063 0.563 0.500
Cd 0.254 0.254 0.000
Cd 0.437 0.937 0.500
Cd 0.563 0.063 0.500
Cd 0.746 0.746 0.000
Cd 0.937 0.437 0.500

No. 3
Crystalline Pm5TmCd6 at its relaxed geometry, computed with PBE.

Output
The total moment is 2.05 Bohr magnetons per cell. The symmetry is Cmmm (65).

Unit cell a=8.499 b=8.499 c=7.670 alpha=90.00 beta=90.00 gamma=143.21
Positions (direct):
Pm 0.000 0.000 0.000
Pm 0.331 0.669 0.000
Pm 0.334 0.666 0.500
Pm 0.666 0.334 0.500
Pm 0.669 0.331 0.000
Tm 0.000 0.000 0.500
Cd 0.163 0.837 0.255
Cd 0.163 0.837 0.745
Cd 0.500 0.500 0.256
Cd 0.500 0.500 0.744
Cd 0.837 0.163 0.255
Cd 0.837 0.163 0.745

No. 4
Crystalline Pm2TmCd5 at its relaxed geometry, computed with PBE.

Output
The total moment is 0.58 Bohr magnetons per cell. The symmetry is I4/mmm (139).

Unit cell a=5.138 b=5.138 c=15.368 alpha=90.00 beta=90.00 gamma=90.00
Positions (direct):
Pm 0.000 0.000 0.239
Pm 0.000 0.000 0.761
Pm 0.500 0.500 0.261
Pm 0.500 0.500 0.739
Tm 0.000 0.000 0.500
Tm 0.500 0.500 0.000
Cd 0.000 0.000 0.000
Cd 0.000 0.500 0.114
Cd 0.000 0.500 0.386
Cd 0.000 0.500 0.614
Cd 0.000 0.500 0.886
Cd 0.500 0.000 0.114
Cd 0.500 0.000 0.386
Cd 0.500 0.000 0.614
Cd 0.500 0.000 0.886
Cd 0.500 0.500 0.500

How do the records compare in raw total energy? In the order shown, they have -1.51 -2.48 -3.12 -2.61 eV/atom.
How do the records compare in Fermi-level density of states? In the order shown, they have 5.0 8.9 14.2 4.9 states/eV/f.u..